(1)
Below is a relaxed structure of Cs3Y3PuO8, with properties calculated at the PBE level.

total magnetization	4.00	Bohr magnetons per cell
V	301.9	Å³ per cell
formation energy without anion corrections	-2725	meV/atom

Unit cell a=8.0990 b=8.0990 c=8.0990 alpha=51.66 beta=51.66 gamma=51.66
Fractional positions:
Cs (0.0000, 0.5000, 0.5000)
Cs (0.5000, 0.0000, 0.5000)
Cs (0.5000, 0.5000, 0.0000)
Y (0.0000, 0.0000, 0.5000)
Y (0.0000, 0.5000, 0.0000)
Y (0.5000, 0.0000, 0.0000)
Pu (0.5000, 0.5000, 0.5000)
O (0.2196, 0.2196, 0.2196)
O (0.2300, 0.7134, 0.7134)
O (0.2866, 0.2866, 0.7700)
O (0.2866, 0.7700, 0.2866)
O (0.7134, 0.2300, 0.7134)
O (0.7134, 0.7134, 0.2300)
O (0.7700, 0.2866, 0.2866)
O (0.7804, 0.7804, 0.7804)

(2)
Below is a relaxed structure of Te2Se3Br, with properties calculated at the PBE level.

total magnetization	0.00	Bohr magnetons per cell
V	422.7	Å³ per cell
formation energy without anion corrections	-59	meV/atom

Unit cell a=4.0704 b=8.6255 c=12.1673 alpha=96.43 beta=92.16 gamma=94.50
Fractional positions:
Te (0.1525, 0.3302, 0.4091)
Te (0.2368, 0.9279, 0.8635)
Te (0.7632, 0.0721, 0.1365)
Te (0.8475, 0.6698, 0.5909)
Se (0.2421, 0.8427, 0.0718)
Se (0.2450, 0.6195, 0.4039)
Se (0.3266, 0.3017, 0.1855)
Se (0.6734, 0.6983, 0.8145)
Se (0.7550, 0.3805, 0.5961)
Se (0.7579, 0.1573, 0.9282)
Br (0.2485, 0.0130, 0.6457)
Br (0.7515, 0.9870, 0.3543)

(3)
Below is a relaxed structure of Li4CdSb2, with properties calculated at the PBE level.

total magnetization	0.00	Bohr magnetons per cell
V	145.8	Å³ per cell
formation energy without anion corrections	-476	meV/atom

Unit cell a=8.1193 b=8.1193 c=8.1193 alpha=33.58 beta=33.58 gamma=33.58
Fractional positions:
Li (0.1197, 0.1197, 0.1197)
Li (0.3705, 0.3705, 0.3705)
Li (0.6295, 0.6295, 0.6295)
Li (0.8803, 0.8803, 0.8803)
Cd (0.5000, 0.5000, 0.5000)
Sb (0.2467, 0.2467, 0.2467)
Sb (0.7533, 0.7533, 0.7533)

(4)
Below is a relaxed structure of NbCoSN2, with properties calculated at the PBE level.

total magnetization	3.35	Bohr magnetons per cell
V	81.2	Å³ per cell
formation energy without anion corrections	647	meV/atom
energy relative to the lowest polymorph listed for this composition	0.000	eV per atom

Unit cell a=3.9436 b=3.9436 c=5.2216 alpha=90.00 beta=90.00 gamma=90.00
Fractional positions:
Nb (0.0000, 0.0000, 0.0000)
Co (0.5000, 0.5000, 0.5000)
S (0.0000, 0.0000, 0.5000)
N (0.0000, 0.5000, 0.0000)
N (0.5000, 0.0000, 0.0000)

(5)
Below is a relaxed structure of SmCoH6Pd, with properties calculated at the PBE level.

total magnetization	0.00	Bohr magnetons per cell
V	76.1	Å³ per cell
E_tot	-4.444	eV/atom

Unit cell a=4.6050 b=4.6050 c=4.1464 alpha=90.00 beta=90.00 gamma=120.00
Fractional positions:
Sm (0.0000, 0.0000, 0.0000)
Co (0.6667, 0.3333, 0.5000)
H (0.5191, 0.0382, 0.2392)
H (0.5191, 0.0382, 0.7608)
H (0.5191, 0.4809, 0.2392)
H (0.5191, 0.4809, 0.7608)
H (0.9618, 0.4809, 0.2392)
H (0.9618, 0.4809, 0.7608)
Pd (0.3333, 0.6667, 0.5000)

(6)
Below is a relaxed structure of Pr2ZrPb, with properties calculated at the PBE level.

total magnetization	0.00	Bohr magnetons per cell
V	363.9	Å³ per cell
energy relative to the lowest polymorph listed for this composition	0.370	eV per atom

Unit cell a=3.3935 b=3.3935 c=36.4880 alpha=90.00 beta=90.00 gamma=120.00
Fractional positions:
Pr (0.0000, 0.0000, 0.0878)
Pr (0.0000, 0.0000, 0.9122)
Pr (0.3333, 0.6667, 0.5789)
Pr (0.3333, 0.6667, 0.7545)
Pr (0.6667, 0.3333, 0.2455)
Pr (0.6667, 0.3333, 0.4211)
Zr (0.0000, 0.0000, 0.0000)
Zr (0.3333, 0.6667, 0.6667)
Zr (0.6667, 0.3333, 0.3333)
Pb (0.0000, 0.0000, 0.5000)
Pb (0.3333, 0.6667, 0.1667)
Pb (0.6667, 0.3333, 0.8333)